Pr2Nd3Ni2: relaxed, PBE.

Lattice parameters (Å, degrees): 3.786 6.443 9.205 112.97 90.00 107.08
Positions (direct):
Nd1 0.500 0.000 0.000
Pr1 0.833 0.666 0.193
Nd2 0.616 0.232 0.428
Nd3 0.384 0.768 0.572
Ni1 0.837 0.674 0.771
Pr2 0.167 0.334 0.807
Ni2 0.163 0.326 0.229

Summary:
The value obtained for the electronic total energy is -5.23 eV/atom. Its space group is C2/m (12). The volume is 196 Å³/cell.